A plane-wave DFT calculation with PBE was carried out for KCa5 after structural relaxation.

```
6
Lattice="7.4652 -1.9656 0.0000 7.4652 1.9656 0.0000 -2.5047 0.0000 9.2573" Properties=species:S:1:pos:R:3 pbc="T T T"
K 0.0000 0.0000 0.0000
Ca 3.9237 0.0000 0.5231
Ca 3.2939 0.0000 6.1022
Ca 7.4102 0.0000 6.5621
Ca 9.1849 0.0000 3.1979
Ca 13.0974 0.0000 3.6333
```

Results
The calculation puts the calculated total energy at -1.7648 eV/atom. As for the volume: 45.279 A^3/atom. The calculation puts the energy of formation at 86 meV/atom.

***

A plane-wave DFT calculation with PBE was carried out for KCa3 after structural relaxation.

```
4
Lattice="3.8596 0.0000 0.0000 0.0000 6.4451 0.0000 -1.3259 0.0000 7.5465" Properties=species:S:1:pos:R:3 pbc="T T T"
K 0.0000 0.0000 0.0000
Ca -0.0538 3.2225 5.5342
Ca 1.2669 0.0000 3.7732
Ca 2.5875 3.2225 2.0123
```

Results
The calculation puts the calculated total energy at -1.6424 eV/atom. As for the volume: 46.930 A^3/atom. The calculation puts the energy of formation at 133 meV/atom.

***

A plane-wave DFT calculation with PBE was carried out for K3Ca after structural relaxation.

```
4
Lattice="4.1830 0.0000 0.0000 0.0000 7.0542 0.0000 -1.5062 0.0000 8.3091" Properties=species:S:1:pos:R:3 pbc="T T T"
K 0.0000 0.0000 0.0000
K -0.2378 3.5271 6.1319
K 2.9147 3.5271 2.1771
Ca 1.3384 0.0000 4.1545
```

Results
The calculation puts the calculated total energy at -1.1978 eV/atom. As for the volume: 61.296 A^3/atom. The calculation puts the energy of formation at 126 meV/atom.

***

A plane-wave DFT calculation with PBE was carried out for KCa3 after structural relaxation.

```
4
Lattice="7.2265 0.0000 0.0000 0.0000 7.2265 0.0000 0.0000 0.0000 7.2265" Properties=species:S:1:pos:R:3 pbc="T T T"
K 0.0000 0.0000 0.0000
Ca 0.0000 0.0000 3.6132
Ca 0.0000 3.6132 0.0000
Ca 3.6132 0.0000 0.0000
```

Results
The calculation puts the calculated total energy at -0.7035 eV/atom. As for the volume: 94.345 A^3/atom. The calculation puts the energy of formation at 1072 meV/atom.

***

A plane-wave DFT calculation with PBE was carried out for KCa3 after structural relaxation.

```
8
Lattice="-2.8758 2.8758 11.3621 2.8758 -2.8758 11.3621 2.8758 2.8758 -11.3621" Properties=species:S:1:pos:R:3 pbc="T T T"
K 0.0000 0.0000 2.8720
K 0.0000 0.0000 19.8522
Ca 2.8758 0.0000 0.0000
Ca 2.8758 0.0000 5.6810
Ca 0.0000 0.0000 8.5459
Ca 0.0000 2.8758 0.0000
Ca 0.0000 0.0000 14.1783
Ca 0.0000 2.8758 5.6810
```

Results
The calculation puts the calculated total energy at -1.6109 eV/atom. As for the volume: 46.982 A^3/atom. The calculation puts the energy of formation at 165 meV/atom.

***

A plane-wave DFT calculation with PBE was carried out for K3Ca after structural relaxation.

```
4
Lattice="7.3771 -2.1359 0.0000 7.3771 2.1359 0.0000 -1.0274 0.0000 7.8387" Properties=species:S:1:pos:R:3 pbc="T T T"
K 0.0000 0.0000 0.0000
K 2.8679 0.0000 5.7907
K 10.8589 0.0000 2.0480
Ca 6.8634 0.0000 3.9193
```

Results
The calculation puts the calculated total energy at -1.1935 eV/atom. As for the volume: 61.756 A^3/atom. The calculation puts the energy of formation at 130 meV/atom.

***

A plane-wave DFT calculation with PBE was carried out for K5Ca after structural relaxation.

```
6
Lattice="7.3585 0.0000 0.0000 0.0000 2.1956 12.0740 0.0000 -2.1956 12.0740" Properties=species:S:1:pos:R:3 pbc="T T T"
K 0.0000 0.0000 0.0000
K 0.0000 0.0000 7.7269
K 3.6792 0.0000 5.2557
K 3.6792 0.0000 13.5305
K 3.6792 0.0000 21.4711
Ca 0.0000 0.0000 15.9535
```

Results
The calculation puts the calculated total energy at -1.1567 eV/atom. As for the volume: 65.025 A^3/atom. The calculation puts the energy of formation at 91 meV/atom.

***

A plane-wave DFT calculation with PBE was carried out for K3Ca after structural relaxation.

```
4
Lattice="-3.1670 3.1670 6.2381 3.1670 -3.1670 6.2381 3.1670 3.1670 -6.2381" Properties=species:S:1:pos:R:3 pbc="T T T"
K 0.0000 0.0000 0.0000
K 3.1670 0.0000 3.1190
K 0.0000 3.1670 3.1190
Ca 0.0000 0.0000 6.2381
```

Results
The calculation puts the calculated total energy at -1.1714 eV/atom. As for the volume: 62.566 A^3/atom. The calculation puts the energy of formation at 152 meV/atom.

***

A plane-wave DFT calculation with PBE was carried out for KCa5 after structural relaxation.

```
6
Lattice="6.5751 0.0000 0.0000 0.0000 1.9668 10.5095 0.0000 -1.9668 10.5095" Properties=species:S:1:pos:R:3 pbc="T T T"
K 0.0000 0.0000 0.0000
Ca 0.0000 0.0000 6.8640
Ca 0.0000 0.0000 14.1148
Ca 3.2875 0.0000 2.3659
Ca 3.2875 0.0000 9.1395
Ca 3.2875 0.0000 16.2650
```

Results
The calculation puts the calculated total energy at -1.7630 eV/atom. As for the volume: 45.303 A^3/atom. The calculation puts the energy of formation at 88 meV/atom.

***

A plane-wave DFT calculation with PBE was carried out for K6Ca7 after structural relaxation.

```
13
Lattice="3.8738 2.2365 13.9665 -3.8738 2.2365 13.9665 0.0000 -4.4730 13.9665" Properties=species:S:1:pos:R:3 pbc="T T T"
K 0.0000 0.0000 2.0166
K 0.0000 0.0000 6.2808
K 0.0000 0.0000 13.9536
K 0.0000 0.0000 27.9460
K 0.0000 0.0000 35.6188
K 0.0000 0.0000 39.8830
Ca -1.9277 -1.1129 17.8061
Ca 0.0000 -2.2259 24.0935
Ca -1.9277 1.1129 24.0935
Ca 0.0000 0.0000 20.9498
Ca 1.9277 -1.1129 17.8060
Ca 0.0000 2.2259 17.8060
Ca 1.9277 1.1129 24.0935
```

Results
The calculation puts the calculated total energy at -1.4318 eV/atom. As for the volume: 55.847 A^3/atom. The calculation puts the energy of formation at 152 meV/atom.

***

A plane-wave DFT calculation with PBE was carried out for K3Ca after structural relaxation.

```
4
Lattice="6.2942 0.0000 0.0000 0.0000 6.2942 0.0000 0.0000 0.0000 6.2942" Properties=species:S:1:pos:R:3 pbc="T T T"
K 0.0000 0.0000 3.1471
K 0.0000 3.1471 0.0000
K 3.1471 0.0000 0.0000
Ca 3.1471 3.1471 3.1471
```

Results
The calculation puts the calculated total energy at -1.1679 eV/atom. As for the volume: 62.339 A^3/atom. The calculation puts the energy of formation at 156 meV/atom.

***

A plane-wave DFT calculation with PBE was carried out for K2Ca after structural relaxation.

```
6
Lattice="0.0000 5.5817 5.5817 5.5817 0.0000 5.5817 5.5817 5.5817 0.0000" Properties=species:S:1:pos:R:3 pbc="T T T"
K 0.0000 0.0000 0.0000
K 2.7909 2.7909 0.0000
K 2.7909 0.0000 2.7909
K 0.0000 2.7909 2.7909
Ca 4.1863 4.1863 4.1863
Ca 6.9772 6.9772 6.9772
```

Results
The calculation puts the calculated total energy at -1.1617 eV/atom. As for the volume: 57.968 A^3/atom. The calculation puts the energy of formation at 237 meV/atom.

***

The evaluated calculated density for the records listed, in turn: 1.46, 1.41, 1.07, 0.70, 1.41, 1.06, 1.00, 1.04, 1.46, 1.18, 1.05, 1.13 g/cm3.